A plane-wave DFT calculation with PBE-GGA was carried out for crystalline Pm3TaS6 at its relaxed geometry.

Crystal system: orthorhombic
Formation energy from raw total energies: -1627 meV per atom

a b c (Å): 8.700 8.700 6.644
angles (deg): 90.00 90.00 101.19
Fractional coordinates of all 20 atoms:
Pm  0.096  0.904  0.500
Pm  0.231  0.413  0.413
Pm  0.413  0.231  0.913
Pm  0.587  0.769  0.413
Pm  0.769  0.587  0.913
Pm  0.904  0.096  0.000
Ta  0.313  0.687  0.866
Ta  0.687  0.313  0.366
S  0.076  0.600  0.704
S  0.130  0.191  0.705
S  0.191  0.130  0.205
S  0.279  0.721  0.212
S  0.400  0.924  0.704
S  0.475  0.525  0.715
S  0.525  0.475  0.215
S  0.600  0.076  0.204
S  0.721  0.279  0.712
S  0.809  0.870  0.705
S  0.870  0.809  0.205
S  0.924  0.400  0.204

A plane-wave DFT calculation with PBE-GGA was carried out for crystalline NdHoMgPa at its relaxed geometry.

Crystal system: cubic
Calculated formation energy: 0.34 eV per atom

a b c (Å): 5.426 5.426 5.426
angles (deg): 60.00 60.00 60.00
Fractional coordinates of all 4 atoms:
Nd  0.000  0.000  0.000
Ho  0.500  0.500  0.500
Mg  0.750  0.750  0.750
Pa  0.250  0.250  0.250

In order of appearance, D(E_F) = 0.59; 2.07 states/eV per atom.
In order of appearance, volume = 493.3; 112.9 Å³ per cell.
In order of appearance, density = 5.4; 8.3 g cm⁻³.